# YbBi2ClO4 | Alexandria via LeMat-Bulk | PBE | optimized geometry
data_YbBi2ClO4
_chemical_formula_sum 'Yb1 Bi2 Cl1 O4'
_cell_length_a 3.891
_cell_length_b 3.891
_cell_length_c 9.112
_cell_angle_alpha 90.00
_cell_angle_beta 90.00
_cell_angle_gamma 90.00
_space_group_name_H-M_alt 'P 4/m m m'
_space_group_IT_number 123
_space_group_name_Hall '-P 4 2'
loop_
_atom_site_label
_atom_site_fract_x
_atom_site_fract_y
_atom_site_fract_z
_atom_site_occupancy
Yb1 0.000 0.000 0.000 1
Bi1 0.500 0.500 0.277 1
Cl1 0.000 0.000 0.500 1
O1 0.000 0.500 0.154 1
# magnetic moment: 0.92 μB/cell
# DOS(E_F): 9.4 states/eV/cell
# total energy: -5.649 eV per atom